Run P
{
  "formula": "Tl4CdSn",
  "functional": "PBE",
  "state": "optimized geometry",
  "crystal_system": "monoclinic",
  "magmom_total_mub_per_fu": 0.0,
  "spacegroup": "C2/m (12)",
  "rho_g_cm3": 9.712,
  "lattice_angstrom": [[6.371, 0.000, 0.584], [3.185, 4.977, 0.292], [-1.191, 0.000, 11.200]],
  "species": ["Tl", "Tl", "Tl", "Tl", "Tl", "Tl", "Tl", "Tl", "Sn", "Sn", "Cd", "Cd"],
  "frac_coords": [[0.425, 0.662, 0.258], [0.683, 0.635, 0.000], [0.913, 0.662, 0.742], [0.575, 0.338, 0.742], [0.087, 0.338, 0.258], [0.293, 0.000, 0.611], [0.707, 0.000, 0.389], [0.317, 0.365, 0.000], [0.875, 0.000, 0.115], [0.125, 0.000, 0.885], [0.775, 0.450, 0.500], [0.225, 0.550, 0.500]]
}

---

Run Q
{
  "formula": "Tl4CdSn",
  "functional": "PBE",
  "state": "optimized geometry",
  "crystal_system": "cubic",
  "magmom_total_mub_per_fu": 0.0,
  "spacegroup": "F-43m (216)",
  "rho_g_cm3": 9.240,
  "lattice_angstrom": [[6.435, 0.000, 0.000], [3.218, 5.573, 0.000], [3.218, 1.858, 5.255]],
  "species": ["Tl", "Tl", "Tl", "Tl", "Cd", "Sn"],
  "frac_coords": [[0.625, 0.124, 0.625], [0.625, 0.625, 0.625], [0.625, 0.625, 0.124], [0.124, 0.625, 0.625], [0.250, 0.250, 0.250], [0.000, 0.000, 0.000]]
}

---

Which is most stable, and by how much? run P, by 133 meV/atom.

---

Run P
{
  "formula": "Tl8Cd2Sn",
  "functional": "PBE",
  "state": "optimized geometry",
  "crystal_system": "orthorhombic",
  "magmom_total_mub_per_fu": 0.0,
  "spacegroup": "Immm (71)",
  "rho_g_cm3": 9.940,
  "lattice_angstrom": [[5.086, 0.000, -1.548], [-1.247, 7.214, -4.097], [-0.064, 0.176, 8.919]],
  "species": ["Tl", "Tl", "Tl", "Tl", "Tl", "Tl", "Tl", "Tl", "Cd", "Cd", "Sn"],
  "frac_coords": [[0.351, 0.561, 0.701], [0.649, 0.439, 0.299], [0.000, 0.694, 0.000], [0.649, 0.860, 0.299], [0.000, 0.306, 0.000], [0.146, 0.146, 0.292], [0.854, 0.854, 0.708], [0.351, 0.140, 0.701], [0.202, 0.702, 0.404], [0.798, 0.298, 0.596], [0.500, 0.000, 0.000]]
}

---

Run Q
{
  "formula": "Tl8Cd2Sn",
  "functional": "PBE",
  "state": "optimized geometry",
  "crystal_system": "monoclinic",
  "magmom_total_mub_per_fu": 0.0,
  "spacegroup": "C2/m (12)",
  "rho_g_cm3": 9.103,
  "lattice_angstrom": [[-1.083, 5.521, 0.266], [-6.824, 0.189, 4.789], [2.422, 1.860, 7.760]],
  "species": ["Cd", "Cd", "Tl", "Tl", "Tl", "Tl", "Tl", "Tl", "Tl", "Tl", "Sn"],
  "frac_coords": [[0.533, 0.871, 0.871], [0.467, 0.129, 0.129], [0.790, 0.194, 0.651], [0.790, 0.651, 0.194], [0.306, 0.387, 0.387], [0.895, 0.244, 0.244], [0.210, 0.349, 0.806], [0.694, 0.613, 0.613], [0.210, 0.806, 0.349], [0.105, 0.756, 0.756], [0.000, 0.000, 0.000]]
}

---

Which is most stable, and by how much? run P, by 52 meV/atom.